Entry 1:
VASP calculation (PBE) on a geometry-optimized BeW structure.

Results
Space group: Pnma
Formation enthalpy at 0 K in kJ/mol of formula units: 34

Lattice parameters (Å, degrees): 7.939 3.180 8.047 90.00 90.00 90.00
Positions (direct):
Be (0.900, 0.250, 0.984)
Be (0.400, 0.250, 0.516)
Be (0.100, 0.750, 0.016)
Be (0.600, 0.750, 0.484)
Be (0.099, 0.250, 0.221)
Be (0.599, 0.250, 0.279)
Be (0.901, 0.750, 0.779)
Be (0.401, 0.750, 0.721)
W (0.366, 0.250, 0.001)
W (0.866, 0.250, 0.499)
W (0.634, 0.750, 0.999)
W (0.134, 0.750, 0.501)
W (0.150, 0.250, 0.764)
W (0.650, 0.250, 0.736)
W (0.850, 0.750, 0.236)
W (0.350, 0.750, 0.264)

=====

Entry 2:
VASP calculation (PBE) on a geometry-optimized CaLaGa structure.

Results
Space group: Pnma
Formation enthalpy at 0 K in kJ/mol of formula units: -78

Lattice parameters (Å, degrees): 6.944 7.207 7.562 90.00 90.00 90.00
Positions (direct):
Ca (0.679, 0.250, 0.811)
Ca (0.821, 0.750, 0.311)
Ca (0.321, 0.750, 0.189)
Ca (0.179, 0.250, 0.689)
Ga (0.000, 0.000, 0.000)
Ga (0.500, 0.500, 0.500)
Ga (0.500, 0.000, 0.500)
Ga (0.000, 0.500, 0.000)
La (0.309, 0.250, 0.197)
La (0.191, 0.750, 0.697)
La (0.691, 0.750, 0.803)
La (0.809, 0.250, 0.303)

=====

Entry 3:
VASP calculation (PBE) on a geometry-optimized YScP4 structure.

Results
Space group: F-43m
Formation enthalpy at 0 K in kJ/mol of formula units: -96

Lattice parameters (Å, degrees): 5.282 5.282 5.282 60.00 60.00 60.00
Positions (direct):
Y (0.000, 0.000, 0.000)
Sc (0.750, 0.750, 0.750)
P (0.869, 0.377, 0.377)
P (0.377, 0.377, 0.869)
P (0.377, 0.869, 0.377)
P (0.377, 0.377, 0.377)

=====

Entry 4:
VASP calculation (PBE) on a geometry-optimized AcTcP2Pt structure.

Results
Space group: I-4m2
Formation enthalpy at 0 K in kJ/mol of formula units: -445

Lattice parameters (Å, degrees): 4.042 4.042 6.614 107.79 107.79 90.00
Positions (direct):
Ac (0.000, 0.000, 0.000)
Tc (0.750, 0.250, 0.500)
P (0.642, 0.642, 0.284)
P (0.358, 0.358, 0.716)
Pt (0.250, 0.750, 0.500)

=====

Entry 5:
VASP calculation (PBE) on a geometry-optimized Rb2Cd12Ag3Ge structure.

Results
Space group: R-3m
Formation enthalpy at 0 K in kJ/mol of formula units: 129

Lattice parameters (Å, degrees): 11.436 11.436 11.436 37.74 37.74 37.74
Positions (direct):
Rb (0.652, 0.652, 0.652)
Rb (0.348, 0.348, 0.348)
Cd (0.415, 0.415, 0.812)
Cd (0.929, 0.929, 0.357)
Cd (0.357, 0.929, 0.929)
Cd (0.812, 0.415, 0.415)
Cd (0.929, 0.357, 0.929)
Cd (0.415, 0.812, 0.415)
Cd (0.585, 0.585, 0.188)
Cd (0.071, 0.071, 0.643)
Cd (0.643, 0.071, 0.071)
Cd (0.188, 0.585, 0.585)
Cd (0.071, 0.643, 0.071)
Cd (0.585, 0.188, 0.585)
Ag (0.500, 0.000, 0.000)
Ag (0.000, 0.500, 0.000)
Ag (0.000, 0.000, 0.500)
Ge (0.000, 0.000, 0.000)

=====

Entry 6:
VASP calculation (PBE) on a geometry-optimized Tb2Pm3Os2 structure.

Results
Space group: C2/m
Formation enthalpy at 0 K in kJ/mol of formula units: -103

Lattice parameters (Å, degrees): 4.017 6.433 8.579 104.84 103.54 108.19
Positions (direct):
Tb (0.650, 0.481, 0.819)
Tb (0.350, 0.519, 0.181)
Pm (0.500, 0.000, 0.000)
Pm (0.193, 0.816, 0.570)
Pm (0.807, 0.184, 0.430)
Os (0.034, 0.853, 0.215)
Os (0.966, 0.147, 0.785)

=====

Calculated electronic total energy, -8.163 -3.589 -5.904 -7.189 -1.375 -6.720 eV per atom (same order as the records).